# 1
8
Lattice="4.8194 0.1932 0.0000 -0.2073 4.8189 0.0000 -2.3061 -2.5060 4.5953" Properties=species:S:1:pos:R:3 comment="Mg2VSnN4 PBE-GGA optimized geometry" raw_formation_energy_ev_per_atom=-0.586 space_group="Fmm2, No. 42" pbc="T T T"
Mg 2.4097 0.0966 2.2988
Mg -0.1036 2.4094 2.2988
N -1.0278 -1.1169 3.5265
V 0.0000 0.0000 4.5940
N 1.0278 1.1169 3.5265
N 3.4208 1.4803 1.0664
N 1.1914 3.5318 1.0664
Sn 0.0000 0.0000 0.0064

=====

# 2
4
Lattice="4.0637 -0.0074 0.0000 0.0044 4.0637 0.0000 0.0000 0.0000 8.2758" Properties=species:S:1:pos:R:3 comment="BaCaTl2 PBE-GGA optimized geometry" space_group="P4/mmm, No. 123" formation_enthalpy_0k_ev_per_atom=-0.434 pbc="T T T"
Ba 2.0340 2.0282 2.0689
Tl 0.0000 0.0000 4.4497
Ca 2.0340 2.0282 6.2068
Tl 0.0000 0.0000 7.9640

=====

# 3
20
Lattice="3.7713 0.0000 -0.6424 0.0000 6.3414 0.0000 0.2244 0.0000 12.7083" Properties=species:S:1:pos:R:3 comment="Ca2Ni5P3 PBE-GGA optimized geometry" space_group="Cmc2_1, No. 36" formation_enthalpy_0k_ev_per_atom=-0.648 pbc="T T T"
P 0.2828 6.1709 1.6602
Ca 2.0084 4.8356 11.7901
Ca 3.2538 1.8467 7.7102
P 1.6139 0.0126 9.4740
Ni 0.5584 1.7318 3.2782
Ni 0.3216 3.7852 1.8878
Ni 1.7479 2.1163 10.2609
P 0.9437 1.3288 5.5401
Ca 1.9874 1.6649 0.2758
P 3.7130 3.0003 10.4057
Ni 2.8973 0.1830 5.6175
Ni 3.6742 0.6145 10.1781
Ni 2.7358 2.4973 4.6694
Ni 1.0985 3.3537 6.4484
P 2.3819 3.1833 2.5919
Ni 1.2600 5.6680 7.3965
Ni 2.2479 5.2870 1.8050
P 3.0520 4.4995 6.5258
Ca 0.7420 5.0174 4.3557
Ni 3.4373 4.9025 8.7877

=====

# 4
5
Lattice="-3.0367 -2.3784 1.9148 0.0208 -2.7166 -3.3413 2.6210 -2.0147 1.6543" Properties=species:S:1:pos:R:3 comment="RuSOF2 PBE-GGA optimized geometry" de_polymorph_ev_per_fu=0.00 raw_formation_energy_ev_per_atom=-0.381 space_group="P4/mmm, No. 123" pbc="T T T"
F -1.5183 -1.1892 0.9574
O 1.3105 -1.0073 0.8271
F 0.0104 -1.3583 -1.6707
S -0.1975 -3.5548 0.1139
Ru 0.0000 0.0000 0.0000

=====

Let's list DFT total energy in order: -6.788, -2.599, -5.562, -4.802 eV/atom.